MgCu2Si, relaxed, DFT GGA-PBE; formation energy without anion corrections = 0.00 eV per formula unit
1.0
-0.578 -3.509 0.360
3.468 -0.632 -0.589
1.697 0.672 9.272
Mg Cu Si
2 4 2
direct
0.500 0.000 0.207 Mg
0.000 0.500 0.793 Mg
0.500 0.000 0.926 Cu
0.000 0.500 0.074 Cu
0.000 0.000 0.500 Cu
0.500 0.500 0.500 Cu
0.500 0.000 0.672 Si
0.000 0.500 0.328 Si